No. 1
# PBE-GGA PrMgSn, relaxed
data_PrMgSn
_chemical_formula_sum 'Pr4 Mg4 Sn4'
_cell_length_a 4.531
_cell_length_b 4.531
_cell_length_c 16.273
_cell_angle_alpha 90.00
_cell_angle_beta 90.00
_cell_angle_gamma 90.00
_symmetry_space_group_name_H-M 'I 4/m m m'
_symmetry_Int_Tables_number 139
_symmetry_space_group_name_Hall '-I 4 2'
loop_
_atom_site_label
_atom_site_fract_x
_atom_site_fract_y
_atom_site_fract_z
Pr1 0.000 0.000 0.165
Mg1 0.000 0.500 0.000
Sn1 0.000 0.000 0.367
# **Electronic total energy**: -12.17 eV per formula unit
# **Total magnetization**: 0.0 μB/f.u.

No. 2
# PBE-GGA SrLuCd, relaxed
data_SrLuCd
_chemical_formula_sum 'Sr4 Lu4 Cd4'
_cell_length_a 7.557
_cell_length_b 7.557
_cell_length_c 7.557
_cell_angle_alpha 90.00
_cell_angle_beta 90.00
_cell_angle_gamma 90.00
_symmetry_space_group_name_H-M 'F -4 3 m'
_symmetry_Int_Tables_number 216
_symmetry_space_group_name_Hall 'F -4 2 3'
loop_
_atom_site_label
_atom_site_fract_x
_atom_site_fract_y
_atom_site_fract_z
Sr1 0.000 0.000 0.000
Lu1 0.250 0.250 0.250
Cd1 0.250 0.250 0.750
# **Electronic total energy**: -5.12 eV per formula unit
# **Total magnetization**: 0.0 μB/f.u.

No. 3
# PBE-GGA Lu4Pb2CN, relaxed
data_Lu4Pb2CN
_chemical_formula_sum 'Lu4 Pb2 C1 N1'
_cell_length_a 3.5139
_cell_length_b 3.5139
_cell_length_c 15.3421
_cell_angle_alpha 90.00
_cell_angle_beta 90.00
_cell_angle_gamma 120.00
_symmetry_space_group_name_H-M 'P -3 m 1'
_symmetry_Int_Tables_number 164
_symmetry_space_group_name_Hall '-P 3 2"'
loop_
_atom_site_label
_atom_site_fract_x
_atom_site_fract_y
_atom_site_fract_z
Lu1 0.3333 0.6667 0.0832
Lu2 0.3333 0.6667 0.4182
Pb1 0.3333 0.6667 0.7472
C1 0.0000 0.0000 0.0000
N1 0.0000 0.0000 0.5000
# **Electronic total energy**: -49.74 eV per formula unit
# **Total magnetization**: 0.0 μB/f.u.

No. 4
# PBE-GGA NaErMgSe3, relaxed
data_NaErMgSe3
_chemical_formula_sum 'Na4 Er4 Mg4 Se12'
_cell_length_a 4.123
_cell_length_b 13.848
_cell_length_c 11.103
_cell_angle_alpha 90.00
_cell_angle_beta 90.00
_cell_angle_gamma 90.00
_symmetry_space_group_name_H-M 'C m c m'
_symmetry_Int_Tables_number 63
_symmetry_space_group_name_Hall '-C 2c 2'
loop_
_atom_site_label
_atom_site_fract_x
_atom_site_fract_y
_atom_site_fract_z
Na1 0.000 0.249 0.250
Er1 0.000 0.500 0.000
Mg1 0.000 0.030 0.750
Se1 0.000 0.133 0.563
Se2 0.000 0.419 0.750
# **Electronic total energy**: -26.60 eV per formula unit
# **Total magnetization**: 0.0 μB/f.u.

No. 5
# PBE-GGA InGaAg, relaxed
data_InGaAg
_chemical_formula_sum 'In4 Ga4 Ag4'
_cell_length_a 6.504
_cell_length_b 6.504
_cell_length_c 6.504
_cell_angle_alpha 90.00
_cell_angle_beta 90.00
_cell_angle_gamma 90.00
_symmetry_space_group_name_H-M 'F -4 3 m'
_symmetry_Int_Tables_number 216
_symmetry_space_group_name_Hall 'F -4 2 3'
loop_
_atom_site_label
_atom_site_fract_x
_atom_site_fract_y
_atom_site_fract_z
In1 0.000 0.000 0.000
Ga1 0.000 0.000 0.500
Ag1 0.250 0.250 0.750
# **Electronic total energy**: -8.54 eV per formula unit

No. 6
# PBE-GGA GdGeSeO, relaxed
data_GdGeSeO
_chemical_formula_sum 'Gd6 Ge6 Se6 O6'
_cell_length_a 4.8381
_cell_length_b 4.8381
_cell_length_c 27.7802
_cell_angle_alpha 90.00
_cell_angle_beta 90.00
_cell_angle_gamma 120.00
_symmetry_space_group_name_H-M 'R -3 m'
_symmetry_Int_Tables_number 166
_symmetry_space_group_name_Hall '-R 3 2"'
loop_
_atom_site_label
_atom_site_fract_x
_atom_site_fract_y
_atom_site_fract_z
Gd1 0.0000 0.0000 0.2312
Ge1 0.0000 0.0000 0.3734
Se1 0.0000 0.0000 0.1204
O1 0.0000 0.0000 0.3093
# **Electronic total energy**: -22.86 eV per formula unit
# **Total magnetization**: 0.2 μB/f.u.